(1)
{
  "formula": "PrNd3Rh4",
  "functional": "GGA-PBE",
  "state": "relaxed",
  "sg": "R-3m, No. 166",
  "formation_enthalpy_0k_ev_per_atom": -0.6304,
  "vol_a3_per_atom": 22.4,
  "rho_g_cm3": 9.1,
  "n_ef_per_ev_cell": 5.96,
  "lattice": [[2.5087, 1.4484, 8.2115], [-2.5087, 1.4484, 8.2115], [0.0000, -2.8967, 8.2115]],
  "species": ["Pr", "Nd", "Nd", "Nd", "Rh", "Rh", "Rh", "Rh"],
  "frac_coords": [[0.0000, 0.0000, 0.0000], [0.2497, 0.2497, 0.2497], [0.5000, 0.5000, 0.5000], [0.7503, 0.7503, 0.7503], [0.1255, 0.1255, 0.1255], [0.3756, 0.3756, 0.3756], [0.6244, 0.6244, 0.6244], [0.8745, 0.8745, 0.8745]]
}

=====

(2)
{
  "formula": "Pr4Nd3Rh2",
  "functional": "GGA-PBE",
  "state": "relaxed",
  "sg": "C2/m, No. 12",
  "formation_enthalpy_0k_ev_per_atom": -0.3152,
  "vol_a3_per_atom": 31.8,
  "rho_g_cm3": 7.0,
  "n_ef_per_ev_cell": 9.89,
  "lattice": [[8.6192, -1.9378, 0.0000], [8.6192, 1.9378, 0.0000], [-3.6012, 0.0000, 8.5612]],
  "species": ["Pr", "Pr", "Pr", "Pr", "Nd", "Nd", "Nd", "Rh", "Rh"],
  "frac_coords": [[0.1280, 0.1280, 0.3806], [0.2723, 0.2723, 0.8474], [0.7277, 0.7277, 0.1526], [0.8720, 0.8720, 0.6194], [0.4263, 0.4263, 0.3132], [0.5000, 0.5000, 0.0000], [0.5737, 0.5737, 0.6868], [0.1198, 0.1198, 0.9363], [0.8802, 0.8802, 0.0637]]
}

=====

(3)
{
  "formula": "Pr3NdRh8",
  "functional": "GGA-PBE",
  "state": "relaxed",
  "sg": "R3m, No. 160",
  "formation_enthalpy_0k_ev_per_atom": -0.6411,
  "vol_a3_per_atom": 18.9,
  "rho_g_cm3": 10.2,
  "n_ef_per_ev_cell": 6.49,
  "lattice": [[2.7159, 1.5680, 8.8786], [-2.7159, 1.5680, 8.8786], [0.0000, -3.1360, 8.8786]],
  "species": ["Pr", "Pr", "Pr", "Nd", "Rh", "Rh", "Rh", "Rh", "Rh", "Rh", "Rh", "Rh"],
  "frac_coords": [[0.0000, 0.0000, 0.0000], [0.1252, 0.1252, 0.1252], [0.5002, 0.5002, 0.5002], [0.6253, 0.6253, 0.6253], [0.0623, 0.5626, 0.5626], [0.0628, 0.0628, 0.5629], [0.0628, 0.5629, 0.0628], [0.3126, 0.3126, 0.3126], [0.5626, 0.0623, 0.5626], [0.5629, 0.0628, 0.0628], [0.5626, 0.5626, 0.0623], [0.8127, 0.8127, 0.8127]]
}

=====

(4)
{
  "formula": "PrNdRh4",
  "functional": "GGA-PBE",
  "state": "relaxed",
  "sg": "F-43m, No. 216",
  "formation_enthalpy_0k_ev_per_atom": -0.6426,
  "vol_a3_per_atom": 18.9,
  "rho_g_cm3": 10.2,
  "n_ef_per_ev_cell": 3.55,
  "lattice": [[0.0000, 3.8386, 3.8386], [3.8386, 0.0000, 3.8386], [3.8386, 3.8386, 0.0000]],
  "species": ["Pr", "Nd", "Rh", "Rh", "Rh", "Rh"],
  "frac_coords": [[0.0000, 0.0000, 0.0000], [0.7500, 0.7500, 0.7500], [0.3750, 0.3750, 0.3750], [0.3750, 0.3750, 0.8749], [0.3750, 0.8749, 0.3750], [0.8749, 0.3750, 0.3750]]
}

=====

(5)
{
  "formula": "PrNdRh",
  "functional": "GGA-PBE",
  "state": "relaxed",
  "sg": "P-1, No. 2",
  "formation_enthalpy_0k_ev_per_atom": -0.4031,
  "vol_a3_per_atom": 28.3,
  "rho_g_cm3": 7.6,
  "n_ef_per_ev_cell": 5.97,
  "lattice": [[3.5760, 0.0000, 0.0000], [-1.7794, 6.8076, 0.0000], [-0.0125, -1.7936, 6.9700]],
  "species": ["Pr", "Pr", "Nd", "Nd", "Rh", "Rh"],
  "frac_coords": [[0.1249, 0.2492, 0.0623], [0.8751, 0.7508, 0.9377], [0.1295, 0.2604, 0.5692], [0.8705, 0.7396, 0.4308], [0.4934, 0.9871, 0.7295], [0.5066, 0.0129, 0.2705]]
}

=====

(6)
{
  "formula": "Pr2NdRh",
  "functional": "GGA-PBE",
  "state": "relaxed",
  "sg": "Pnma, No. 62",
  "formation_enthalpy_0k_ev_per_atom": -0.4078,
  "vol_a3_per_atom": 30.3,
  "rho_g_cm3": 7.3,
  "n_ef_per_ev_cell": 19.31,
  "lattice": [[7.3828, 0.0000, 0.0000], [0.0000, 10.0722, 0.0000], [0.0000, 0.0000, 6.5158]],
  "species": ["Pr", "Pr", "Pr", "Pr", "Pr", "Pr", "Pr", "Pr", "Nd", "Nd", "Nd", "Nd", "Rh", "Rh", "Rh", "Rh"],
  "frac_coords": [[0.1755, 0.0665, 0.1689], [0.1755, 0.4335, 0.1689], [0.3245, 0.5665, 0.6689], [0.3245, 0.9335, 0.6689], [0.6755, 0.0665, 0.3311], [0.6755, 0.4335, 0.3311], [0.8245, 0.5665, 0.8311], [0.8245, 0.9335, 0.8311], [0.0355, 0.2500, 0.6490], [0.4645, 0.7500, 0.1490], [0.5355, 0.2500, 0.8510], [0.9645, 0.7500, 0.3510], [0.1226, 0.7500, 0.9344], [0.3774, 0.2500, 0.4344], [0.6226, 0.7500, 0.5656], [0.8774, 0.2500, 0.0656]]
}

=====

(7)
{
  "formula": "Pr2Nd2Rh3",
  "functional": "GGA-PBE",
  "state": "relaxed",
  "sg": "I2_13, No. 199",
  "formation_enthalpy_0k_ev_per_atom": -0.6131,
  "vol_a3_per_atom": 25.2,
  "rho_g_cm3": 8.3,
  "n_ef_per_ev_cell": 9.97,
  "lattice": [[-4.4530, 4.4530, 4.4530], [4.4530, -4.4530, 4.4530], [4.4530, 4.4530, -4.4530]],
  "species": ["Pr", "Pr", "Pr", "Pr", "Nd", "Nd", "Nd", "Nd", "Rh", "Rh", "Rh", "Rh", "Rh", "Rh"],
  "frac_coords": [[0.0000, 0.3801, 0.5000], [0.1199, 0.1199, 0.1199], [0.3801, 0.5000, 0.0000], [0.5000, 0.0000, 0.3801], [0.0000, 0.8826, 0.5000], [0.5000, 0.0000, 0.8826], [0.6174, 0.6174, 0.6174], [0.8826, 0.5000, 0.0000], [0.1186, 0.7500, 0.8686], [0.2500, 0.6314, 0.3814], [0.3814, 0.2500, 0.6314], [0.6314, 0.3814, 0.2500], [0.7500, 0.8686, 0.1186], [0.8686, 0.1186, 0.7500]]
}

=====

(8)
{
  "formula": "PrNd3Rh",
  "functional": "GGA-PBE",
  "state": "relaxed",
  "sg": "C2/m, No. 12",
  "formation_enthalpy_0k_ev_per_atom": -0.2023,
  "vol_a3_per_atom": 31.8,
  "rho_g_cm3": 7.1,
  "n_ef_per_ev_cell": 11.12,
  "lattice": [[5.0238, -5.0438, 0.0000], [5.0238, 5.0438, 0.0000], [-2.5236, 0.0000, 6.2786]],
  "species": ["Pr", "Pr", "Nd", "Nd", "Nd", "Nd", "Nd", "Nd", "Rh", "Rh"],
  "frac_coords": [[0.0686, 0.0686, 0.2745], [0.9314, 0.9314, 0.7255], [0.0675, 0.5672, 0.2706], [0.4321, 0.4321, 0.7273], [0.4328, 0.9325, 0.7294], [0.5672, 0.0675, 0.2706], [0.5679, 0.5679, 0.2727], [0.9325, 0.4328, 0.7294], [0.2513, 0.2513, 0.9995], [0.7487, 0.7487, 0.0005]]
}

=====

(9)
{
  "formula": "Pr2NdRh2",
  "functional": "GGA-PBE",
  "state": "relaxed",
  "sg": "P4/mbm, No. 127",
  "formation_enthalpy_0k_ev_per_atom": -0.5456,
  "vol_a3_per_atom": 25.5,
  "rho_g_cm3": 8.2,
  "n_ef_per_ev_cell": 7.15,
  "lattice": [[7.8550, 0.0000, 0.0000], [0.0000, 7.8550, 0.0000], [0.0000, 0.0000, 4.1398]],
  "species": ["Pr", "Pr", "Pr", "Pr", "Nd", "Nd", "Rh", "Rh", "Rh", "Rh"],
  "frac_coords": [[0.1610, 0.3390, 0.0000], [0.3390, 0.8390, 0.0000], [0.6610, 0.1610, 0.0000], [0.8390, 0.6610, 0.0000], [0.0000, 0.0000, 0.5000], [0.5000, 0.5000, 0.5000], [0.1400, 0.6400, 0.5000], [0.3600, 0.1400, 0.5000], [0.6400, 0.8600, 0.5000], [0.8600, 0.3600, 0.5000]]
}

=====

(10)
{
  "formula": "PrNdRh",
  "functional": "GGA-PBE",
  "state": "relaxed",
  "sg": "F-43m, No. 216",
  "formation_enthalpy_0k_ev_per_atom": -0.4355,
  "vol_a3_per_atom": 29.0,
  "rho_g_cm3": 7.4,
  "n_ef_per_ev_cell": 2.52,
  "lattice": [[0.0000, 3.5151, 3.5151], [3.5151, 0.0000, 3.5151], [3.5151, 3.5151, 0.0000]],
  "species": ["Pr", "Nd", "Rh"],
  "frac_coords": [[0.0000, 0.0000, 0.0000], [0.5000, 0.5000, 0.5000], [0.7500, 0.7500, 0.7500]]
}

=====

(11)
{
  "formula": "PrNdRh",
  "functional": "GGA-PBE",
  "state": "relaxed",
  "sg": "I4mm, No. 107",
  "formation_enthalpy_0k_ev_per_atom": -0.3991,
  "vol_a3_per_atom": 28.4,
  "rho_g_cm3": 7.6,
  "n_ef_per_ev_cell": 3.33,
  "lattice": [[-1.7901, 1.7901, 6.6408], [1.7901, -1.7901, 6.6408], [1.7901, 1.7901, -6.6408]],
  "species": ["Pr", "Nd", "Rh"],
  "frac_coords": [[0.0000, 0.0000, 0.0000], [0.2539, 0.2539, 0.0000], [0.6292, 0.6292, 0.0000]]
}

=====

(12)
{
  "formula": "Pr2Nd5Rh4",
  "functional": "GGA-PBE",
  "state": "relaxed",
  "sg": "C2/m, No. 12",
  "formation_enthalpy_0k_ev_per_atom": -0.3239,
  "vol_a3_per_atom": 29.7,
  "rho_g_cm3": 7.2,
  "n_ef_per_ev_cell": 9.24,
  "lattice": [[12.3653, -1.8800, 0.0000], [12.3653, 1.8800, 0.0000], [-0.4661, 0.0000, 7.0212]],
  "species": ["Pr", "Pr", "Nd", "Nd", "Nd", "Nd", "Nd", "Rh", "Rh", "Rh", "Rh"],
  "frac_coords": [[0.0853, 0.0853, 0.1482], [0.9147, 0.9147, 0.8518], [0.1337, 0.1337, 0.6787], [0.2308, 0.2308, 0.2162], [0.5000, 0.5000, 0.5000], [0.7692, 0.7692, 0.7838], [0.8663, 0.8663, 0.3213], [0.0272, 0.0272, 0.7951], [0.3308, 0.3308, 0.0228], [0.6692, 0.6692, 0.9772], [0.9728, 0.9728, 0.2049]]
}

=====

(13)
{
  "formula": "PrNdRh",
  "functional": "GGA-PBE",
  "state": "relaxed",
  "sg": "P3m1, No. 156",
  "formation_enthalpy_0k_ev_per_atom": -0.4400,
  "vol_a3_per_atom": 32.0,
  "rho_g_cm3": 6.7,
  "n_ef_per_ev_cell": 2.93,
  "lattice": [[4.1494, 0.0000, 0.0000], [-2.0747, 3.5934, 0.0000], [0.0000, 0.0000, 6.4483]],
  "species": ["Pr", "Nd", "Rh"],
  "frac_coords": [[0.0000, 0.0000, 0.0000], [0.6667, 0.3333, 0.4764], [0.3333, 0.6667, 0.2407]]
}

=====

(14)
{
  "formula": "PrNd3Rh",
  "functional": "GGA-PBE",
  "state": "relaxed",
  "sg": "Pm-3m, No. 221",
  "formation_enthalpy_0k_ev_per_atom": -0.1463,
  "vol_a3_per_atom": 35.3,
  "rho_g_cm3": 6.4,
  "n_ef_per_ev_cell": 7.79,
  "lattice": [[5.6068, 0.0000, 0.0000], [0.0000, 5.6068, 0.0000], [0.0000, 0.0000, 5.6068]],
  "species": ["Pr", "Nd", "Nd", "Nd", "Rh"],
  "frac_coords": [[0.0000, 0.0000, 0.0000], [0.0000, 0.5000, 0.5000], [0.5000, 0.0000, 0.5000], [0.5000, 0.5000, 0.0000], [0.5000, 0.5000, 0.5000]]
}

=====

(15)
{
  "formula": "Pr3Nd4Rh4",
  "functional": "GGA-PBE",
  "state": "relaxed",
  "sg": "Immm, No. 71",
  "formation_enthalpy_0k_ev_per_atom": -0.4657,
  "vol_a3_per_atom": 26.4,
  "rho_g_cm3": 8.1,
  "n_ef_per_ev_cell": 8.72,
  "lattice": [[-2.3601, 3.9184, 7.8451], [2.3601, -3.9184, 7.8451], [2.3601, 3.9184, -7.8451]],
  "species": ["Pr", "Pr", "Pr", "Nd", "Nd", "Nd", "Nd", "Rh", "Rh", "Rh", "Rh"],
  "frac_coords": [[0.0000, 0.0000, 0.0000], [0.4014, 0.9014, 0.5000], [0.5986, 0.0986, 0.5000], [0.0472, 0.3317, 0.7155], [0.3838, 0.6683, 0.7155], [0.6162, 0.3317, 0.2845], [0.9528, 0.6683, 0.2845], [0.2058, 0.2058, 0.0000], [0.3171, 0.5000, 0.8171], [0.6829, 0.5000, 0.1829], [0.7942, 0.7942, 0.0000]]
}

=====

(16)
{
  "formula": "Pr6NdRh4",
  "functional": "GGA-PBE",
  "state": "relaxed",
  "sg": "Cm, No. 8",
  "formation_enthalpy_0k_ev_per_atom": -0.4664,
  "vol_a3_per_atom": 28.1,
  "rho_g_cm3": 7.5,
  "n_ef_per_ev_cell": 8.80,
  "lattice": [[4.0660, -5.6499, 0.0000], [4.0660, 5.6499, 0.0000], [-1.9423, 0.0000, 6.7390]],
  "species": ["Pr", "Pr", "Pr", "Pr", "Pr", "Pr", "Nd", "Rh", "Rh", "Rh", "Rh"],
  "frac_coords": [[0.0000, 0.0000, 0.0000], [0.1927, 0.5197, 0.4706], [0.4699, 0.9600, 0.9078], [0.5132, 0.5132, 0.0731], [0.5197, 0.1927, 0.4706], [0.9600, 0.4699, 0.9078], [0.9032, 0.9032, 0.4713], [0.2271, 0.2271, 0.7395], [0.2504, 0.7991, 0.2043], [0.6470, 0.6470, 0.7193], [0.7991, 0.2504, 0.2043]]
}

=====

(17)
{
  "formula": "Pr2NdRh",
  "functional": "GGA-PBE",
  "state": "relaxed",
  "sg": "R-3m, No. 166",
  "formation_enthalpy_0k_ev_per_atom": -0.0904,
  "vol_a3_per_atom": 34.0,
  "rho_g_cm3": 6.5,
  "n_ef_per_ev_cell": 5.95,
  "lattice": [[1.9107, 1.1032, 10.7438], [-1.9107, 1.1032, 10.7438], [0.0000, -2.2063, 10.7438]],
  "species": ["Pr", "Pr", "Nd", "Rh"],
  "frac_coords": [[0.1114, 0.1114, 0.1114], [0.8886, 0.8886, 0.8886], [0.0000, 0.0000, 0.0000], [0.5000, 0.5000, 0.5000]]
}

=====

(18)
{
  "formula": "Pr2NdRh2",
  "functional": "GGA-PBE",
  "state": "relaxed",
  "sg": "R-3m, No. 166",
  "formation_enthalpy_0k_ev_per_atom": -0.4459,
  "vol_a3_per_atom": 25.8,
  "rho_g_cm3": 8.1,
  "n_ef_per_ev_cell": 2.74,
  "lattice": [[2.3954, 1.3830, 6.4839], [-2.3954, 1.3830, 6.4839], [0.0000, -2.7659, 6.4839]],
  "species": ["Pr", "Pr", "Nd", "Rh", "Rh"],
  "frac_coords": [[0.2200, 0.2200, 0.2200], [0.7800, 0.7800, 0.7800], [0.0000, 0.0000, 0.0000], [0.3866, 0.3866, 0.3866], [0.6134, 0.6134, 0.6134]]
}

=====

(19)
{
  "formula": "Pr2NdRh",
  "functional": "GGA-PBE",
  "state": "relaxed",
  "sg": "P4/mmm, No. 123",
  "formation_enthalpy_0k_ev_per_atom": -0.2628,
  "vol_a3_per_atom": 29.7,
  "rho_g_cm3": 7.4,
  "n_ef_per_ev_cell": 4.56,
  "lattice": [[3.6448, 0.0000, 0.0000], [0.0000, 3.6448, 0.0000], [0.0000, 0.0000, 8.9307]],
  "species": ["Pr", "Pr", "Nd", "Rh"],
  "frac_coords": [[0.0000, 0.0000, 0.1885], [0.0000, 0.0000, 0.8115], [0.5000, 0.5000, 0.5000], [0.5000, 0.5000, 0.0000]]
}

=====

(20)
{
  "formula": "Pr5Nd3Rh2",
  "functional": "GGA-PBE",
  "state": "relaxed",
  "sg": "Ibam, No. 72",
  "formation_enthalpy_0k_ev_per_atom": -0.2143,
  "vol_a3_per_atom": 33.6,
  "rho_g_cm3": 6.6,
  "n_ef_per_ev_cell": 26.56,
  "lattice": [[-5.3761, 7.7106, 4.0506], [5.3761, -7.7106, 4.0506], [5.3761, 7.7106, -4.0506]],
  "species": ["Pr", "Pr", "Pr", "Pr", "Pr", "Pr", "Pr", "Pr", "Pr", "Pr", "Nd", "Nd", "Nd", "Nd", "Nd", "Nd", "Rh", "Rh", "Rh", "Rh"],
  "frac_coords": [[0.0090, 0.2500, 0.7590], [0.1234, 0.2375, 0.3608], [0.2500, 0.2500, 0.0000], [0.3766, 0.7375, 0.1141], [0.4910, 0.2500, 0.2410], [0.5090, 0.7500, 0.7590], [0.6234, 0.2625, 0.8859], [0.7500, 0.7500, 0.0000], [0.8766, 0.7625, 0.6392], [0.9910, 0.7500, 0.2410], [0.1241, 0.7623, 0.8864], [0.2500, 0.7500, 0.5000], [0.3759, 0.2623, 0.6381], [0.6241, 0.7377, 0.3619], [0.7500, 0.2500, 0.5000], [0.8759, 0.2377, 0.1136], [0.1325, 0.5010, 0.6334], [0.3675, 0.0010, 0.3685], [0.6325, 0.9990, 0.6315], [0.8675, 0.4990, 0.3666]]
}

=====

(21)
{
  "formula": "Pr2Nd3Rh2",
  "functional": "GGA-PBE",
  "state": "relaxed",
  "sg": "C2/m, No. 12",
  "formation_enthalpy_0k_ev_per_atom": -0.4543,
  "vol_a3_per_atom": 29.1,
  "rho_g_cm3": 7.5,
  "n_ef_per_ev_cell": 7.76,
  "lattice": [[6.2539, -1.9506, 0.0000], [6.2539, 1.9506, 0.0000], [-3.9946, 0.0000, 8.3504]],
  "species": ["Pr", "Pr", "Nd", "Nd", "Nd", "Rh", "Rh"],
  "frac_coords": [[0.1677, 0.1677, 0.3102], [0.8323, 0.8323, 0.6898], [0.3845, 0.3845, 0.0716], [0.5000, 0.5000, 0.5000], [0.6155, 0.6155, 0.9284], [0.1753, 0.1753, 0.7430], [0.8247, 0.8247, 0.2570]]
}

=====

(22)
{
  "formula": "Pr3NdRh3",
  "functional": "GGA-PBE",
  "state": "relaxed",
  "sg": "C2/m, No. 12",
  "formation_enthalpy_0k_ev_per_atom": -0.5225,
  "vol_a3_per_atom": 26.0,
  "rho_g_cm3": 8.0,
  "n_ef_per_ev_cell": 9.92,
  "lattice": [[4.7132, -5.3306, 0.0000], [4.7132, 5.3306, 0.0000], [-0.0678, 0.0000, 7.2486]],
  "species": ["Pr", "Pr", "Pr", "Pr", "Pr", "Pr", "Nd", "Nd", "Rh", "Rh", "Rh", "Rh", "Rh", "Rh"],
  "frac_coords": [[0.1811, 0.8189, 0.0000], [0.2471, 0.7529, 0.5000], [0.3298, 0.3298, 0.1267], [0.6702, 0.6702, 0.8733], [0.7529, 0.2471, 0.5000], [0.8189, 0.1811, 0.0000], [0.2474, 0.2474, 0.6275], [0.7526, 0.7526, 0.3725], [0.0032, 0.5017, 0.7728], [0.0627, 0.0627, 0.3037], [0.4983, 0.9968, 0.2272], [0.5017, 0.0032, 0.7728], [0.9373, 0.9373, 0.6963], [0.9968, 0.4983, 0.2272]]
}

=====

(23)
{
  "formula": "PrNdRh",
  "functional": "GGA-PBE",
  "state": "relaxed",
  "sg": "Cm, No. 8",
  "formation_enthalpy_0k_ev_per_atom": -0.4992,
  "vol_a3_per_atom": 28.6,
  "rho_g_cm3": 7.5,
  "n_ef_per_ev_cell": 6.63,
  "lattice": [[6.3600, -1.9575, 0.0000], [6.3600, 1.9575, 0.0000], [-4.9816, 0.0000, 6.8987]],
  "species": ["Pr", "Pr", "Nd", "Nd", "Rh", "Rh"],
  "frac_coords": [[0.0000, 0.0000, 0.0000], [0.5874, 0.5874, 0.6937], [0.2443, 0.2443, 0.5285], [0.8352, 0.8352, 0.2226], [0.2924, 0.2924, 0.9107], [0.5411, 0.5411, 0.3129]]
}

=====

(24)
{
  "formula": "Pr7NdRh2",
  "functional": "GGA-PBE",
  "state": "relaxed",
  "sg": "Cmmm, No. 65",
  "formation_enthalpy_0k_ev_per_atom": -0.0770,
  "vol_a3_per_atom": 36.5,
  "rho_g_cm3": 6.1,
  "n_ef_per_ev_cell": 14.56,
  "lattice": [[4.5006, -7.3824, 0.0000], [4.5006, 7.3824, 0.0000], [0.0000, 0.0000, 5.4908]],
  "species": ["Pr", "Pr", "Pr", "Pr", "Pr", "Pr", "Pr", "Nd", "Rh", "Rh"],
  "frac_coords": [[0.0000, 0.0000, 0.0000], [0.1789, 0.4443, 0.0000], [0.2098, 0.7902, 0.5000], [0.4443, 0.1789, 0.0000], [0.5557, 0.8211, 0.0000], [0.7902, 0.2098, 0.5000], [0.8211, 0.5557, 0.0000], [0.5000, 0.5000, 0.5000], [0.1976, 0.8024, 0.0000], [0.8024, 0.1976, 0.0000]]
}